[1]
Computed, not measured: crystalline Mg12Tl2Pb7 at its relaxed geometry at the PBE level of DFT.

Computed properties:
The final energy comes out at -2.412 eV per atom.

Lattice parameters (Å, degrees): 4.4106 12.1856 12.1856 120.00 90.00 90.00
Fractional positions:
Mg 0.5000 0.8997 0.6085
Mg 0.5000 0.7089 0.1003
Mg 0.5000 0.3915 0.2911
Mg 0.5000 0.2408 0.7992
Mg 0.5000 0.5584 0.7592
Mg 0.5000 0.2008 0.4416
Mg 0.0000 0.0583 0.5467
Mg 0.0000 0.4885 0.9417
Mg 0.0000 0.4533 0.5115
Mg 0.0000 0.7747 0.7295
Mg 0.0000 0.9548 0.2253
Mg 0.0000 0.2705 0.0452
Tl 0.5000 0.0000 0.0000
Tl 0.0000 0.6667 0.3333
Pb 0.0000 0.3333 0.6667
Pb 0.0000 0.0464 0.7913
Pb 0.0000 0.7450 0.9536
Pb 0.0000 0.2087 0.2550
Pb 0.5000 0.6314 0.5450
Pb 0.5000 0.9136 0.3686
Pb 0.5000 0.4550 0.0864

---

[2]
Computed, not measured: crystalline NdDyAg at its relaxed geometry at the PBE level of DFT.

Computed properties:
The value obtained for the energy above the most stable polymorph in this dataset is 137.2 meV/atom. The final energy comes out at -4.096 eV per atom.

Lattice parameters (Å, degrees): 3.7532 5.0965 5.0965 120.00 90.00 90.00
Fractional positions:
Nd 0.6285 0.6667 0.3333
Ag 0.2913 0.3333 0.6667
Dy 0.0802 0.0000 0.0000

---

[3]
Computed, not measured: crystalline BiTePS2 at its relaxed geometry at the PBE level of DFT.

Computed properties:
The value obtained for the energy above the most stable polymorph in this dataset is 0.0 meV/atom. The final energy comes out at -3.494 eV per atom. The value obtained for the formation energy without anion corrections is 62 kJ per mole of atoms.

Lattice parameters (Å, degrees): 4.9767 4.9767 5.1982 90.00 90.00 90.00
Fractional positions:
P 0.0000 0.0000 0.5000
S 0.0000 0.5000 0.0000
S 0.5000 0.0000 0.0000
Te 0.0000 0.0000 0.0000
Bi 0.5000 0.5000 0.5000

---

[4]
Computed, not measured: crystalline LiPIO2 at its relaxed geometry at the PBE level of DFT.

Computed properties:
The value obtained for the energy above the most stable polymorph in this dataset is 0.0 meV/atom. The final energy comes out at -4.497 eV per atom. The value obtained for the formation energy without anion corrections is -71 kJ per mole of atoms.

Lattice parameters (Å, degrees): 3.5979 3.5979 6.3679 90.00 90.00 90.00
Fractional positions:
I 0.0000 0.0000 0.5000
P 0.0000 0.0000 0.0000
O 0.0000 0.5000 0.0000
O 0.5000 0.0000 0.0000
Li 0.5000 0.5000 0.5000

---

[5]
Computed, not measured: crystalline CaTaRh2 at its relaxed geometry at the PBE level of DFT.

Computed properties:
The final energy comes out at -7.204 eV per atom.

Lattice parameters (Å, degrees): 3.5389 3.5389 6.4736 90.00 90.00 90.00
Fractional positions:
Ca 0.5000 0.5000 0.7853
Rh 0.0000 0.0000 0.0275
Rh 0.5000 0.5000 0.2916
Ta 0.0000 0.0000 0.3956

---

[6]
Computed, not measured: crystalline Cs2Np2TlS7 at its relaxed geometry at the PBE level of DFT.

Computed properties:
The final energy comes out at -5.943 eV per atom. The value obtained for the formation energy without anion corrections is -100 kJ per mole of atoms.

Lattice parameters (Å, degrees): 5.1943 5.1943 14.3957 79.60 79.60 90.00
Site moments in Bohr magnetons follow the coordinates.
Fractional positions:
Cs 0.8139 0.8139 0.3716  0.00
Cs 0.1861 0.1861 0.6284  0.00
Np 0.5928 0.5928 0.8146  2.22
Np 0.4072 0.4072 0.1854  2.22
Tl 0.0000 0.0000 0.0000  0.00
S 0.5000 0.5000 0.0000  -0.15
S 0.3187 0.3187 0.3623  -0.15
S 0.6813 0.6813 0.6377  -0.15
S 0.9092 0.4092 0.1814  -0.15
S 0.4092 0.9092 0.1814  -0.15
S 0.5908 0.0908 0.8186  -0.15
S 0.0908 0.5908 0.8186  -0.15

---

[7]
Computed, not measured: crystalline DyEr2Hg9 at its relaxed geometry at the PBE level of DFT.

Computed properties:
The final energy comes out at -1.671 eV per atom.

Lattice parameters (Å, degrees): 4.4914 4.4914 14.4175 90.00 90.00 90.00
Fractional positions:
Dy 0.0000 0.0000 0.0000
Er 0.0000 0.0000 0.3340
Er 0.0000 0.0000 0.6660
Hg 0.5000 0.5000 0.0000
Hg 0.5000 0.5000 0.3333
Hg 0.5000 0.5000 0.6667
Hg 0.5000 0.0000 0.1675
Hg 0.5000 0.0000 0.5000
Hg 0.5000 0.0000 0.8325
Hg 0.0000 0.5000 0.1675
Hg 0.0000 0.5000 0.5000
Hg 0.0000 0.5000 0.8325